(1)
# Tc2RuPb PBE relaxed
data_Tc2RuPb
_symmetry_space_group_name_H-M 'P 1 2/m 1'
_symmetry_Int_Tables_number 10
_symmetry_space_group_name_Hall '-P 2y'
_cell_length_a 2.885
_cell_length_b 3.986
_cell_length_c 6.053
_cell_angle_alpha 90.00
_cell_angle_beta 96.20
_cell_angle_gamma 90.00
loop_
_atom_site_label
_atom_site_fract_x
_atom_site_fract_y
_atom_site_fract_z
Tc1 0.043 0.000 0.198
Ru1 0.500 0.500 0.000
Pb1 0.500 0.500 0.500
# Calculated total energy in eV per cell: -31.6
# Calculated density in g/cm3: 12.1

---

(2)
# Tc2RuPb PBE relaxed
data_Tc2RuPb
_symmetry_space_group_name_H-M 'C 1 m 1'
_symmetry_Int_Tables_number 8
_symmetry_space_group_name_Hall 'C -2y'
_cell_length_a 9.160
_cell_length_b 3.017
_cell_length_c 5.027
_cell_angle_alpha 90.00
_cell_angle_beta 103.59
_cell_angle_gamma 90.00
loop_
_atom_site_label
_atom_site_fract_x
_atom_site_fract_y
_atom_site_fract_z
Tc1 0.000 0.000 0.000
Tc2 0.232 0.500 0.141
Ru1 0.476 0.000 0.416
Pb1 0.237 0.000 0.658
# Calculated total energy in eV per cell: -63.4
# Calculated density in g/cm3: 12.4

---

(3)
# TcRuPb2 PBE relaxed
data_TcRuPb2
_symmetry_space_group_name_H-M 'C 1 m 1'
_symmetry_Int_Tables_number 8
_symmetry_space_group_name_Hall 'C -2y'
_cell_length_a 10.205
_cell_length_b 3.144
_cell_length_c 5.338
_cell_angle_alpha 90.00
_cell_angle_beta 112.66
_cell_angle_gamma 90.00
loop_
_atom_site_label
_atom_site_fract_x
_atom_site_fract_y
_atom_site_fract_z
Tc1 0.000 0.000 0.000
Ru1 0.190 0.500 0.366
Pb1 0.242 0.000 0.871
Pb2 0.447 0.000 0.492
# Relative energy among the computed polymorphs in meV per atom: 285.5
# Calculated total energy in eV per cell: -49.4
# Calculated density in g/cm3: 12.9

---

(4)
# Tc2RuPb PBE relaxed
data_Tc2RuPb
_symmetry_space_group_name_H-M 'R 3 m'
_symmetry_Int_Tables_number 160
_symmetry_space_group_name_Hall 'R 3 -2"'
_cell_length_a 2.9393
_cell_length_b 2.9393
_cell_length_c 27.1287
_cell_angle_alpha 90.00
_cell_angle_beta 90.00
_cell_angle_gamma 120.00
loop_
_atom_site_label
_atom_site_fract_x
_atom_site_fract_y
_atom_site_fract_z
Tc1 0.0000 0.0000 0.0000
Tc2 0.0000 0.0000 0.2578
Ru1 0.0000 0.0000 0.5155
Pb1 0.0000 0.0000 0.7587
# Calculated total energy in eV per cell: -94.9
# Calculated density in g/cm3: 12.4

---

(5)
# TcRuPb2 PBE relaxed
data_TcRuPb2
_symmetry_space_group_name_H-M 'P 4 m m'
_symmetry_Int_Tables_number 99
_symmetry_space_group_name_Hall 'P 4 -2'
_cell_length_a 3.046
_cell_length_b 3.046
_cell_length_c 9.502
_cell_angle_alpha 90.00
_cell_angle_beta 90.00
_cell_angle_gamma 90.00
loop_
_atom_site_label
_atom_site_fract_x
_atom_site_fract_y
_atom_site_fract_z
Tc1 0.000 0.000 0.000
Ru1 0.500 0.500 0.847
Pb1 0.000 0.000 0.616
Pb2 0.500 0.500 0.237
# Relative energy among the computed polymorphs in meV per atom: 0.0
# Calculated total energy in eV per cell: -25.9
# Calculated density in g/cm3: 11.6

---

(6)
# TcRuPb2 PBE relaxed
data_TcRuPb2
_symmetry_space_group_name_H-M 'F m -3 m'
_symmetry_Int_Tables_number 225
_symmetry_space_group_name_Hall '-F 4 2 3'
_cell_length_a 6.694
_cell_length_b 6.694
_cell_length_c 6.694
_cell_angle_alpha 90.00
_cell_angle_beta 90.00
_cell_angle_gamma 90.00
loop_
_atom_site_label
_atom_site_fract_x
_atom_site_fract_y
_atom_site_fract_z
Tc1 0.000 0.000 0.000
Ru1 0.000 0.000 0.500
Pb1 0.250 0.250 0.250
# Relative energy among the computed polymorphs in meV per atom: 310.1
# Calculated total energy in eV per cell: -98.5
# Calculated density in g/cm3: 13.6

---

(7)
# Tc2RuPb PBE relaxed
data_Tc2RuPb
_symmetry_space_group_name_H-M 'C 1 2/m 1'
_symmetry_Int_Tables_number 12
_symmetry_space_group_name_Hall '-C 2y'
_cell_length_a 5.254
_cell_length_b 8.588
_cell_length_c 2.950
_cell_angle_alpha 90.00
_cell_angle_beta 90.18
_cell_angle_gamma 90.00
loop_
_atom_site_label
_atom_site_fract_x
_atom_site_fract_y
_atom_site_fract_z
Tc1 0.250 0.250 0.000
Ru1 0.000 0.000 0.500
Pb1 0.000 0.500 0.500
# Calculated total energy in eV per cell: -62.1
# Calculated density in g/cm3: 12.6

---

(8)
# TcRuPb2 PBE relaxed
data_TcRuPb2
_symmetry_space_group_name_H-M 'C 1 2/m 1'
_symmetry_Int_Tables_number 12
_symmetry_space_group_name_Hall '-C 2y'
_cell_length_a 8.675
_cell_length_b 3.252
_cell_length_c 5.687
_cell_angle_alpha 90.00
_cell_angle_beta 102.71
_cell_angle_gamma 90.00
loop_
_atom_site_label
_atom_site_fract_x
_atom_site_fract_y
_atom_site_fract_z
Tc1 0.000 0.000 0.000
Ru1 0.000 0.500 0.500
Pb1 0.249 0.000 0.749
# Relative energy among the computed polymorphs in meV per atom: 418.4
# Calculated total energy in eV per cell: -48.4
# Calculated density in g/cm3: 13.0

---

(9)
# Tc2RuPb PBE relaxed
data_Tc2RuPb
_symmetry_space_group_name_H-M 'I m m 2'
_symmetry_Int_Tables_number 44
_symmetry_space_group_name_Hall 'I 2 -2'
_cell_length_a 3.215
_cell_length_b 4.565
_cell_length_c 8.965
_cell_angle_alpha 90.00
_cell_angle_beta 90.00
_cell_angle_gamma 90.00
loop_
_atom_site_label
_atom_site_fract_x
_atom_site_fract_y
_atom_site_fract_z
Tc1 0.000 0.000 0.000
Tc2 0.000 0.500 0.261
Ru1 0.000 0.000 0.500
Pb1 0.000 0.500 0.753
# Calculated total energy in eV per cell: -62.4
# Calculated density in g/cm3: 12.7

---

(10)
# TcRuPb2 PBE relaxed
data_TcRuPb2
_symmetry_space_group_name_H-M 'C m m m'
_symmetry_Int_Tables_number 65
_symmetry_space_group_name_Hall '-C 2 2'
_cell_length_a 3.388
_cell_length_b 5.418
_cell_length_c 8.699
_cell_angle_alpha 90.00
_cell_angle_beta 90.00
_cell_angle_gamma 90.00
loop_
_atom_site_label
_atom_site_fract_x
_atom_site_fract_y
_atom_site_fract_z
Tc1 0.000 0.000 0.000
Ru1 0.000 0.000 0.500
Pb1 0.000 0.500 0.253
# Relative energy among the computed polymorphs in meV per atom: 507.2
# Calculated total energy in eV per cell: -47.7
# Calculated density in g/cm3: 12.8

---

(11)
# TcRuPb2 PBE relaxed
data_TcRuPb2
_symmetry_space_group_name_H-M 'R 3 m'
_symmetry_Int_Tables_number 160
_symmetry_space_group_name_Hall 'R 3 -2"'
_cell_length_a 3.0668
_cell_length_b 3.0668
_cell_length_c 32.5293
_cell_angle_alpha 90.00
_cell_angle_beta 90.00
_cell_angle_gamma 120.00
loop_
_atom_site_label
_atom_site_fract_x
_atom_site_fract_y
_atom_site_fract_z
Tc1 0.0000 0.0000 0.0000
Ru1 0.0000 0.0000 0.2756
Pb1 0.0000 0.0000 0.5319
Pb2 0.0000 0.0000 0.7451
# Relative energy among the computed polymorphs in meV per atom: 213.3
# Calculated total energy in eV per cell: -75.0
# Calculated density in g/cm3: 11.5

---

(12)
# Tc2RuPb PBE relaxed
data_Tc2RuPb
_symmetry_space_group_name_H-M 'P m m m'
_symmetry_Int_Tables_number 47
_symmetry_space_group_name_Hall '-P 2 2'
_cell_length_a 2.900
_cell_length_b 4.087
_cell_length_c 5.713
_cell_angle_alpha 90.00
_cell_angle_beta 90.00
_cell_angle_gamma 90.00
loop_
_atom_site_label
_atom_site_fract_x
_atom_site_fract_y
_atom_site_fract_z
Tc1 0.000 0.000 0.208
Ru1 0.500 0.500 0.000
Pb1 0.500 0.500 0.500
# Calculated total energy in eV per cell: -31.6
# Calculated density in g/cm3: 12.4

---

Copy entry 4 word for word.
# Tc2RuPb PBE relaxed
data_Tc2RuPb
_symmetry_space_group_name_H-M 'R 3 m'
_symmetry_Int_Tables_number 160
_symmetry_space_group_name_Hall 'R 3 -2"'
_cell_length_a 2.9393
_cell_length_b 2.9393
_cell_length_c 27.1287
_cell_angle_alpha 90.00
_cell_angle_beta 90.00
_cell_angle_gamma 120.00
loop_
_atom_site_label
_atom_site_fract_x
_atom_site_fract_y
_atom_site_fract_z
Tc1 0.0000 0.0000 0.0000
Tc2 0.0000 0.0000 0.2578
Ru1 0.0000 0.0000 0.5155
Pb1 0.0000 0.0000 0.7587
# Calculated total energy in eV per cell: -94.9
# Calculated density in g/cm3: 12.4